AlCuSb2Te | Alexandria via LeMat-Bulk | GGA-PBE | relaxed; volume = 146.12 Å³ per cell; crystal system = tetragonal; energy above the most stable polymorph in this dataset = 1.24 eV per formula unit; space-group type = P4/mmm, No. 123; ΔE_f (raw) = 775 meV/atom
1.0
5.236 0.000 0.000
0.000 5.236 0.000
0.000 0.000 5.331
Al Cu Sb Te
1 1 2 1
Direct
0.000 0.000 0.000
0.500 0.500 0.500
0.000 0.500 0.000
0.500 0.000 0.000
0.000 0.000 0.500